The following is a DFT calculation (GGA-PBEsol) of In3Au2 after structural relaxation.

Properties
Fermi-level density of states	0.37	states/eV/atom
spin magnetization	0.0	Bohr magnetons per cell

a b c (Å): 3.483 3.483 10.559
angles (deg): 80.51 80.51 60.00
Element x y z (fractional)
Au: 0.603 0.603 0.192
In: 0.000 0.000 0.000
In: 0.794 0.794 0.618
Au: 0.397 0.397 0.808
In: 0.206 0.206 0.382



The following is a DFT calculation (GGA-PBEsol) of In3Au5 after structural relaxation.

Properties
Fermi-level density of states	0.34	states/eV/atom
spin magnetization	0.0	Bohr magnetons per cell

a b c (Å): 4.387 5.836 5.836
angles (deg): 95.05 90.00 90.00
Element x y z (fractional)
In: 0.000 0.500 0.500
In: 0.500 0.225 0.775
Au: 0.500 0.271 0.271
Au: 0.500 0.729 0.729
Au: 0.000 0.500 0.000
In: 0.500 0.775 0.225
Au: 0.000 0.000 0.000
Au: 0.000 0.000 0.500



The following is a DFT calculation (GGA-PBEsol) of InAu2 after structural relaxation.

Properties
Fermi-level density of states	0.33	states/eV/atom
spin magnetization	0.0	Bohr magnetons per cell

a b c (Å): 5.479 5.606 5.479
angles (deg): 119.26 90.00 119.26
Element x y z (fractional)
Au: 0.823 0.000 0.677
In: 0.250 0.500 0.250
Au: 0.323 0.000 0.823
Au: 0.677 0.000 0.177
Au: 0.177 0.000 0.323
In: 0.750 0.500 0.750



The following is a DFT calculation (GGA-PBEsol) of In3Au4 after structural relaxation.

Properties
Fermi-level density of states	0.27	states/eV/atom
spin magnetization	0.0	Bohr magnetons per cell

a b c (Å): 3.722 3.722 10.151
angles (deg): 100.56 100.56 90.00
Element x y z (fractional)
Au: 0.854 0.854 0.708
Au: 0.570 0.570 0.139
Au: 0.146 0.146 0.292
In: 0.707 0.707 0.413
Au: 0.430 0.430 0.861
In: 0.000 0.000 0.000
In: 0.293 0.293 0.587



The following is a DFT calculation (GGA-PBEsol) of InAu3 after structural relaxation.

Properties
Fermi-level density of states	0.33	states/eV/atom
spin magnetization	0.0	Bohr magnetons per cell

a b c (Å): 3.287 4.575 4.787
angles (deg): 90.00 90.00 90.00
Element x y z (fractional)
Au: 0.500 0.000 0.483
Au: 0.000 0.000 0.983
In: 0.000 0.500 0.353
Au: 0.500 0.500 0.848



The following is a DFT calculation (GGA-PBEsol) of InAu3 after structural relaxation.

Properties
Fermi-level density of states	0.29	states/eV/atom
spin magnetization	0.0	Bohr magnetons per cell

a b c (Å): 3.340 4.743 5.405
angles (deg): 116.02 108.00 90.00
Element x y z (fractional)
Au: 0.756 0.741 0.512
Au: 0.500 0.839 0.000
Au: 0.244 0.229 0.488
In: 0.000 0.358 0.000



no.,E_form (eV per atom),volume (Å³/atom)
1,-0.13,21.78
2,-0.10,18.60
3,-0.13,20.27
4,-0.14,19.41
5,-0.10,18.00
6,-0.11,18.07